(1)
VZn2N3, relaxed, DFT GGA-PBEsol; crystal system = orthorhombic; ΔE_f (raw) = -515.4 meV/atom; final energy = -82.9 eV/cell; SG = No. 36
1.0
5.226 0.000 0.000
0.000 5.471 0.000
0.000 2.677 4.771
N Zn V
6 4 2
direct
0.359 0.167 0.527
0.817 0.147 0.853
0.317 0.853 0.147
0.859 0.527 0.167
0.359 0.473 0.833
0.859 0.833 0.473
0.474 0.831 0.502
0.474 0.498 0.169
0.974 0.169 0.498
0.974 0.502 0.831
0.961 0.838 0.162
0.461 0.162 0.838

=====

(2)
V3Zn2N, relaxed, DFT GGA-PBEsol; crystal system = cubic; ΔE_f (raw) = -648.7 meV/atom; final energy = -177.9 eV/cell; SG = No. 213
1.0
-5.377 2.671 2.464
-2.892 -0.480 -5.790
-2.201 -5.895 1.587
V Zn N
12 8 4
direct
0.212 0.462 0.125
0.375 0.788 0.962
0.288 0.538 0.625
0.038 0.875 0.712
0.712 0.038 0.875
0.875 0.712 0.038
0.538 0.625 0.288
0.462 0.125 0.212
0.125 0.212 0.462
0.962 0.375 0.788
0.788 0.962 0.375
0.625 0.288 0.538
0.428 0.928 0.572
0.322 0.178 0.822
0.822 0.322 0.178
0.928 0.572 0.428
0.678 0.678 0.678
0.178 0.822 0.322
0.572 0.428 0.928
0.072 0.072 0.072
0.125 0.625 0.875
0.375 0.375 0.375
0.625 0.875 0.125
0.875 0.125 0.625

=====

(3)
WN2, relaxed, DFT GGA-PBEsol; crystal system = hexagonal; ΔE_f (raw) = -509.5 meV/atom; final energy = -64.8 eV/cell; SG = No. 194
1.0
2.905 0.000 0.000
-1.453 2.516 0.000
0.000 0.000 7.750
N W
4 2
direct
0.000 0.000 0.590
0.000 0.000 0.090
0.000 0.000 0.910
0.000 0.000 0.410
0.667 0.333 0.250
0.333 0.667 0.750

=====

(4)
WN2, relaxed, DFT GGA-PBEsol; crystal system = tetragonal; ΔE_f (raw) = -245.7 meV/atom; final energy = -63.2 eV/cell; SG = No. 122
1.0
-3.009 -5.189 -0.622
5.106 0.912 -3.074
0.181 -0.821 5.971
N W
4 2
direct
0.623 0.250 0.875
0.627 0.250 0.375
0.125 0.750 0.373
0.625 0.750 0.377
0.750 0.500 0.250
0.500 0.000 0.500

=====

(5)
WN2, relaxed, DFT GGA-PBEsol; crystal system = trigonal; ΔE_f (raw) = -226.8 meV/atom; final energy = -94.6 eV/cell; SG = No. 152
1.0
-5.665 1.320 -0.337
2.027 -4.820 -2.571
-1.095 -3.327 5.374
N W
6 3
direct
0.790 0.214 0.165
0.423 0.210 0.832
0.210 0.423 0.502
0.577 0.786 0.835
0.786 0.577 0.498
0.214 0.790 0.168
0.499 0.499 0.667
0.501 0.000 0.000
0.000 0.501 0.333

=====

(6)
WN2, relaxed, DFT GGA-PBEsol; crystal system = hexagonal; ΔE_f (raw) = -509.2 meV/atom; final energy = -32.4 eV/cell; SG = No. 187
1.0
-1.464 1.903 -1.626
1.922 -1.786 -1.234
-2.809 -2.639 -0.558
N W
2 1
direct
0.000 0.000 0.181
0.000 0.000 0.819
0.333 0.667 0.500

=====

(7)
WN2, relaxed, DFT GGA-PBEsol; crystal system = monoclinic; ΔE_f (raw) = -247.6 meV/atom; final energy = -63.2 eV/cell; SG = No. 12
1.0
-1.202 2.485 -2.565
0.181 -2.661 -2.662
-4.447 -1.258 3.633
N W
4 2
direct
0.427 0.177 0.854
0.823 0.572 0.646
0.573 0.823 0.146
0.177 0.428 0.354
0.375 0.624 0.750
0.625 0.376 0.250

=====

(8)
YW3N, relaxed, DFT GGA-PBEsol; crystal system = cubic; ΔE_f (raw) = 4316.0 meV/atom; final energy = -35.2 eV/cell; SG = No. 221
1.0
-0.305 1.800 4.368
2.078 -3.880 1.744
4.243 2.030 -0.540
W Y N
3 1 1
direct
0.000 0.500 0.000
0.000 0.000 0.500
0.500 0.000 0.000
0.000 0.000 0.000
0.500 0.500 0.500

=====

(9)
ZnW2N, relaxed, DFT GGA-PBEsol; crystal system = cubic; ΔE_f (raw) = 1060.8 meV/atom; final energy = -33.5 eV/cell; SG = No. 225
1.0
-3.701 -1.431 -1.098
-0.292 -3.106 -2.687
-1.231 -3.716 1.275
W N Zn
2 1 1
direct
0.250 0.250 0.250
0.750 0.750 0.750
0.000 0.000 0.000
0.500 0.500 0.500

=====

(10)
Y2Zn3N4, relaxed, DFT GGA-PBEsol; crystal system = monoclinic; ΔE_f (raw) = -756.5 meV/atom; final energy = -118.6 eV/cell; SG = No. 15
1.0
6.247 -0.008 0.005
0.163 6.712 -0.019
-0.163 -3.011 5.999
Zn N Y
6 8 4
direct
0.531 0.762 0.069
0.969 0.069 0.762
0.250 0.743 0.743
0.750 0.257 0.257
0.469 0.238 0.931
0.031 0.931 0.238
0.169 0.313 0.846
0.669 0.154 0.687
0.476 0.353 0.253
0.976 0.747 0.647
0.024 0.253 0.353
0.831 0.687 0.154
0.331 0.846 0.313
0.524 0.647 0.747
0.640 0.767 0.485
0.860 0.485 0.767
0.140 0.515 0.233
0.360 0.233 0.515

=====

(11)
Zn3N, relaxed, DFT GGA-PBEsol; crystal system = tetragonal; ΔE_f (raw) = 683.1 meV/atom; final energy = -10.5 eV/cell; SG = No. 139
1.0
3.428 0.000 0.000
0.000 3.428 0.000
-1.714 -1.714 4.097
N Zn
1 3
direct
0.000 0.000 0.000
0.500 0.500 0.000
0.750 0.250 0.500
0.250 0.750 0.500

=====

(12)
Zr3ZnN, relaxed, DFT GGA-PBEsol; crystal system = cubic; ΔE_f (raw) = -919.5 meV/atom; final energy = -42.0 eV/cell; energy above the most stable polymorph in this dataset = 0.088 eV per atom; SG = No. 221
1.0
4.400 0.000 0.000
0.000 4.400 0.000
0.000 0.000 4.400
Zr N Zn
3 1 1
direct
0.500 0.000 0.000
0.000 0.000 0.500
0.000 0.500 0.000
0.000 0.000 0.000
0.500 0.500 0.500

=====

- The lowest ΔE_f (raw) belongs to which entry?
  Zr3ZnN